The following is a DFT calculation (meta-GGA SCAN) of a crystal of SrAl2TlH relaxed with PBEsol.

Properties
total moment: 0.000 Bohr magnetons per cell
total DFT energy (no corrections): -112.82 eV/cell

```
data_SrAl2TlH
_cell_length_a 4.463
_cell_length_b 4.463
_cell_length_c 5.087
_cell_angle_alpha 90.00
_cell_angle_beta 90.00
_cell_angle_gamma 90.00
_symmetry_space_group_name_H-M 'P 4/m m m'
_symmetry_Int_Tables_number 123
_symmetry_space_group_name_Hall '-P 4 2'
loop_
_atom_site_label
_atom_site_type_symbol
_atom_site_fract_x
_atom_site_fract_y
_atom_site_fract_z
Sr1 Sr 0.000 0.000 0.000
Al1 Al 0.000 0.500 0.500
Tl1 Tl 0.500 0.500 0.000
H1 H 0.500 0.500 0.500
```